Entry 1:
A geometry-optimized BaMnIr2 structure. Source: Alexandria, functional GGA-PBE.

a b c (Å): 2.998 5.320 10.626
angles (deg): 90.00 90.00 90.00
Space group Imm2 (No. 44)
Symmetry-distinct sites (fractional):
Ba: 0.000 0.000 0.000 [2 per cell]
Mn: 0.000 0.500 0.198 [2 per cell]
Ir: 0.000 0.000 0.491 [2 per cell]
Ir: 0.000 0.500 0.787 [2 per cell]

Output
energy of formation = 12.7 kcal/mol of atoms
total magnetic moment = 1.0384 μB per atom
Fermi-level density of states = 8.88 states/eV/cell
distance to the lowest polymorph of the same formula = 592 meV per atom


Entry 2:
A geometry-optimized SmCoSi2 structure. Source: Alexandria, functional GGA-PBE.

a b c (Å): 6.810 3.990 9.923
angles (deg): 90.00 90.00 90.00
Space group Pnma (No. 62)
Symmetry-distinct sites (fractional):
Sm: 0.154 0.250 0.125 [4 per cell]
Co: 0.006 0.750 0.383 [4 per cell]
Si: 0.162 0.250 0.818 [4 per cell]
Si: 0.175 0.250 0.425 [4 per cell]

Output
total magnetic moment = 0.0000 μB per atom
Fermi-level density of states = 8.17 states/eV/cell
E_form (uncorrected) = -0.751 eV per atom


> Which of these has the highest Fermi-level density of states?

BaMnIr2


> Look up the Fermi-level density of states of the second one.

8.17 states/eV/cell


> Among the records above, which one has the lowest Fermi-level density of states?

SmCoSi2